[1]
{"formula": "CdGaRu3", "functional": "PBE", "state": "relaxed", "cell": [[4.5849, 0.0000, 0.0000], [0.0000, 4.5849, 0.0000], [0.0000, 0.0000, 4.5849]], "species": ["Cd", "Ga", "Ru", "Ru", "Ru"], "frac_coords": [[0.0000, 0.0000, 0.0000], [0.5000, 0.5000, 0.5000], [0.0000, 0.5000, 0.5000], [0.5000, 0.0000, 0.5000], [0.5000, 0.5000, 0.0000]], "magnetic_moment_mub_per_cell": 4.485, "e_form_ev_per_atom": 1.14, "de_polymorph_mev_per_atom": 0.0}


[2]
{"formula": "SbTe2Ru", "functional": "PBE", "state": "relaxed", "cell": [[6.9769, 0.0000, 0.0000], [0.0000, 6.9769, 0.0000], [0.0000, 0.0000, 10.3205]], "species": ["Sb", "Sb", "Sb", "Sb", "Te", "Te", "Te", "Te", "Te", "Te", "Te", "Te", "Ru", "Ru", "Ru", "Ru"], "frac_coords": [[0.0000, 0.0000, 0.0000], [0.0000, 0.5000, 0.2500], [0.5000, 0.0000, 0.7500], [0.5000, 0.5000, 0.5000], [0.1895, 0.2500, 0.6250], [0.2500, 0.6895, 0.8750], [0.2500, 0.8105, 0.3750], [0.3105, 0.2500, 0.1250], [0.6895, 0.7500, 0.1250], [0.7500, 0.1895, 0.3750], [0.7500, 0.3105, 0.8750], [0.8105, 0.7500, 0.6250], [0.0000, 0.0000, 0.5000], [0.0000, 0.5000, 0.7500], [0.5000, 0.0000, 0.2500], [0.5000, 0.5000, 0.0000]], "magnetic_moment_mub_per_cell": 0.000, "raw_formation_energy_ev_per_atom": 0.291}


Across the entries above, DFT total energy takes the values -5.218, -4.629 eV per atom, respectively.